Here is an optimized crystal structure of BaNa2Ge2 from Alexandria via LeMat-Bulk. Energies are from PBE.

Cell: 4.681 4.930 26.489 Å, 90.00 90.00 90.00°
Space group Imma (No. 74)
Asymmetric unit:
Ba: 0.000 0.250 0.178 [4 per cell]
Na: 0.000 0.250 0.441 [4 per cell]
Na: 0.000 0.250 0.942 [4 per cell]
Ge: 0.000 0.250 0.632 [4 per cell]
Ge: 0.000 0.250 0.724 [4 per cell]

Summary:
Theoretical density = 3570 kg/m3
Total energy = -3.05 eV/atom